Material: TlIr2Pt
Method: DFT, GGA-PBE
State: relaxed

Formation energy from the elements (eV/f.u.): 1.409
Space group: C2/m
Polymorph energy (0 for the lowest one) (meV/atom): 32

Unit cell a=4.843 b=4.843 c=5.080 alpha=79.84 beta=79.84 gamma=35.00
Element x y z (fractional)
Ir1 0.002 0.002 0.973
Ir2 0.498 0.498 0.527
Pt1 0.750 0.750 0.750
Tl1 0.250 0.250 0.250